Material: CrN2O2
Method: DFT, PBE+U
State: relaxed

a = 3.6456 Å, b = 3.6456 Å, c = 4.0717 Å
α = 90.00°, β = 90.00°, γ = 90.00°
Atoms (fractional coordinates):
Cr 0.0000 0.0000 0.0000
O 0.0000 0.5000 0.0000
O 0.5000 0.0000 0.0000
N 0.5000 0.5000 0.5000
N 0.0000 0.0000 0.5000

Calculated values
Electronic total energy in eV per atom: -5.757
Polymorph energy (0 for the lowest one) in eV per atom: 0.000